Record 1
Here is MoPb2Se after structural relaxation from Alexandria via LeMat-Bulk. Energies are from GGA-PBEsol.

Cell: 3.6136 3.6116 6.6192 Å, 90.00 90.92 90.00°
Fractional coordinates of all 4 atoms:
Se 0.5000 0.5000 0.5000
Pb 0.9950 0.0000 0.7698
Pb 0.0050 0.0000 0.2302
Mo 0.5000 0.5000 0.0000

Properties
* spin magnetization: 0.00 μB/cell
* formation energy without anion corrections: 12.35 kcal/mol of atoms

---

Record 2
Here is SiMoPb after structural relaxation from Alexandria via LeMat-Bulk. Energies are from GGA-PBEsol.

Cell: 2.9664 2.9664 7.0490 Å, 98.89 98.89 105.41°
Fractional coordinates of all 3 atoms:
Pb 0.3429 0.3429 0.6858
Mo 0.0167 0.0167 0.0333
Si 0.6404 0.6404 0.2809

Properties
* spin magnetization: 0.00 μB/cell
* formation energy without anion corrections: 11.26 kcal/mol of atoms

---

Record 3
Here is Si2MoPb after structural relaxation from Alexandria via LeMat-Bulk. Energies are from GGA-PBEsol.

Cell: 4.1264 4.1264 4.9460 Å, 114.65 114.65 90.00°
Fractional coordinates of all 4 atoms:
Pb 0.0000 0.0000 0.0000
Si 0.2500 0.7500 0.5000
Mo 0.5000 0.5000 0.0000
Si 0.7500 0.2500 0.5000

Properties
* spin magnetization: 0.00 μB/cell
* formation energy without anion corrections: 15.83 kcal/mol of atoms

---

Record 4
Here is Si2MoPb after structural relaxation from Alexandria via LeMat-Bulk. Energies are from GGA-PBEsol.

Cell: 3.3492 4.6151 4.6151 Å, 105.78 90.02 90.02°
Fractional coordinates of all 4 atoms:
Mo 0.5000 0.5000 0.5000
Si 0.0000 0.5000 0.0000
Si 0.0000 0.0000 0.5000
Pb 0.5000 0.0000 0.0000

Properties
* spin magnetization: 0.00 μB/cell
* formation energy without anion corrections: 14.16 kcal/mol of atoms

---

Record 5
Here is SrMoPb2 after structural relaxation from Alexandria via LeMat-Bulk. Energies are from GGA-PBEsol.

Cell: 3.5435 5.4661 5.5738 Å, 90.00 92.03 90.00°
Fractional coordinates of all 4 atoms:
Sr 0.4833 0.0000 0.4554
Pb 0.9869 0.0000 0.9384
Pb 0.9606 0.5000 0.3056
Mo 0.0692 0.5000 0.8006

Properties
* excess energy over the best structure of this formula in the dataset: 354 meV per atom
* spin magnetization: 1.68 μB/cell
* formation energy: 0.541 eV/atom

---

Record 6
Here is SrMoPb2 after structural relaxation from Alexandria via LeMat-Bulk. Energies are from GGA-PBEsol.

Cell: 3.5245 3.5245 7.8410 Å, 90.00 90.00 90.00°
Fractional coordinates of all 4 atoms:
Pb 0.0000 0.0000 0.2008
Pb 0.0000 0.0000 0.7992
Mo 0.5000 0.5000 0.0000
Sr 0.5000 0.5000 0.5000

Properties
* excess energy over the best structure of this formula in the dataset: 0 meV per atom
* spin magnetization: 0.00 μB/cell
* formation energy: 0.186 eV/atom

---

Record 7
Here is SrMoPb after structural relaxation from Alexandria via LeMat-Bulk. Energies are from GGA-PBEsol.

Cell: 3.7082 3.7082 6.2530 Å, 107.25 107.25 90.00°
Fractional coordinates of all 3 atoms:
Mo 0.9577 0.9577 0.9154
Pb 0.3776 0.3776 0.7553
Sr 0.6646 0.6646 0.3293

Properties
* spin magnetization: 0.00 μB/cell
* formation energy: 0.561 eV/atom

---

Record 8
Here is TaMoPb2 after structural relaxation from Alexandria via LeMat-Bulk. Energies are from GGA-PBEsol.

Cell: 3.0951 5.5020 5.5020 Å, 112.30 101.53 101.53°
Fractional coordinates of all 4 atoms:
Mo 0.5000 0.5000 0.5000
Ta 0.5000 0.0000 0.0000
Pb 0.0000 0.0000 0.5000
Pb 0.0000 0.5000 0.0000

Properties
* excess energy over the best structure of this formula in the dataset: 30 meV per atom
* spin magnetization: 0.00 μB/cell
* formation energy: 0.781 eV/atom

---

Record 9
Here is TaMoPb2 after structural relaxation from Alexandria via LeMat-Bulk. Energies are from GGA-PBEsol.

Cell: 3.1714 3.1714 9.3799 Å, 80.27 80.27 60.00°
Fractional coordinates of all 4 atoms:
Mo 0.0000 0.0000 0.0000
Ta 0.5000 0.5000 0.5000
Pb 0.7469 0.7469 0.7594
Pb 0.2531 0.2531 0.2406

Properties
* excess energy over the best structure of this formula in the dataset: 0 meV per atom
* spin magnetization: 0.00 μB/cell
* formation energy: 0.750 eV/atom

---

Record 10
Here is TaMoPb2 after structural relaxation from Alexandria via LeMat-Bulk. Energies are from GGA-PBEsol.

Cell: 3.4661 4.5933 5.0767 Å, 90.00 90.00 90.00°
Fractional coordinates of all 4 atoms:
Mo 0.0000 0.5000 0.5000
Ta 0.5000 0.5000 0.0000
Pb 0.5000 0.0000 0.5000
Pb 0.0000 0.0000 0.0000

Properties
* excess energy over the best structure of this formula in the dataset: 15 meV per atom
* spin magnetization: 0.00 μB/cell
* formation energy: 0.766 eV/atom

---

Record 11
Here is TcMoPb2 after structural relaxation from Alexandria via LeMat-Bulk. Energies are from GGA-PBEsol.

Cell: 3.1427 3.1427 10.3892 Å, 81.30 81.30 60.00°
Fractional coordinates of all 4 atoms:
Pb 0.9856 0.9856 0.0432
Tc 0.5141 0.5141 0.4577
Pb 0.7651 0.7651 0.7048
Mo 0.2352 0.2352 0.2943

Properties
* spin magnetization: 0.00 μB/cell
* formation energy: 0.471 eV/atom

---

Record 12
Here is TcMoPb after structural relaxation from Alexandria via LeMat-Bulk. Energies are from GGA-PBEsol.

Cell: 2.9046 4.5375 4.5375 Å, 120.00 90.00 90.00°
Fractional coordinates of all 3 atoms:
Mo 0.9996 0.0000 0.0000
Tc 0.5000 0.6667 0.3333
Pb 0.5004 0.3333 0.6667

Properties
* excess energy over the best structure of this formula in the dataset: 0 meV per atom
* spin magnetization: 0.00 μB/cell
* formation energy: 0.728 eV/atom

---

Record 13
Here is TcMoPb after structural relaxation from Alexandria via LeMat-Bulk. Energies are from GGA-PBEsol.

Cell: 4.3913 4.3913 4.3913 Å, 60.00 60.00 60.00°
Fractional coordinates of all 3 atoms:
Mo 0.2500 0.2500 0.2500
Tc 0.5000 0.5000 0.5000
Pb 0.0000 0.0000 0.0000

Properties
* excess energy over the best structure of this formula in the dataset: 191 meV per atom
* spin magnetization: 0.00 μB/cell
* formation energy: 0.919 eV/atom

---

Record 14
Here is TeMo2Pb after structural relaxation from Alexandria via LeMat-Bulk. Energies are from GGA-PBEsol.

Cell: 3.3353 4.2289 6.1531 Å, 110.10 105.73 90.00°
Fractional coordinates of all 4 atoms:
Mo 0.9739 0.9739 0.9479
Mo 0.7123 0.2123 0.4246
Pb 0.5315 0.5315 0.0629
Te 0.2823 0.7823 0.5646

Properties
* excess energy over the best structure of this formula in the dataset: 43 meV per atom
* spin magnetization: 0.00 μB/cell
* formation energy without anion corrections: 12.96 kcal/mol of atoms

---

Record 15
Here is TeMo2Pb after structural relaxation from Alexandria via LeMat-Bulk. Energies are from GGA-PBEsol.

Cell: 4.7802 4.7802 4.7802 Å, 60.00 60.00 60.00°
Fractional coordinates of all 4 atoms:
Te 0.2500 0.2500 0.2500
Mo 0.7500 0.7500 0.7500
Pb 0.5000 0.5000 0.5000
Mo 0.0000 0.0000 0.0000

Properties
* excess energy over the best structure of this formula in the dataset: 344 meV per atom
* spin magnetization: 0.00 μB/cell
* formation energy without anion corrections: 19.88 kcal/mol of atoms

---

Record 16
Here is Te2MoPb after structural relaxation from Alexandria via LeMat-Bulk. Energies are from GGA-PBEsol.

Cell: 3.3041 4.8718 7.0857 Å, 110.11 103.48 90.00°
Fractional coordinates of all 4 atoms:
Te 0.1728 0.1728 0.3456
Te 0.8272 0.8272 0.6544
Mo 0.5000 0.0000 0.0000
Pb 0.0000 0.5000 0.0000

Properties
* spin magnetization: 0.00 μB/cell
* formation energy without anion corrections: 5.34 kcal/mol of atoms

---

Record 17
Here is TeMo2Pb after structural relaxation from Alexandria via LeMat-Bulk. Energies are from GGA-PBEsol.

Cell: 3.3054 3.3054 6.7307 Å, 90.00 90.00 90.00°
Fractional coordinates of all 4 atoms:
Mo 0.0000 0.0000 0.7311
Te 0.5000 0.5000 0.5000
Mo 0.0000 0.0000 0.2689
Pb 0.5000 0.5000 0.0000

Properties
* excess energy over the best structure of this formula in the dataset: 0 meV per atom
* spin magnetization: 0.00 μB/cell
* formation energy without anion corrections: 11.96 kcal/mol of atoms

---

Record 18
Here is TeMo2Pb after structural relaxation from Alexandria via LeMat-Bulk. Energies are from GGA-PBEsol.

Cell: 3.1633 3.1633 8.7854 Å, 90.00 90.00 116.94°
Fractional coordinates of all 4 atoms:
Mo 0.0000 0.0000 0.2372
Pb 0.5000 0.5000 0.5000
Te 0.5000 0.5000 0.0000
Mo 0.0000 0.0000 0.7628

Properties
* excess energy over the best structure of this formula in the dataset: 344 meV per atom
* spin magnetization: 0.00 μB/cell
* formation energy without anion corrections: 19.89 kcal/mol of atoms

---

Record 19
Here is TeMo2Pb after structural relaxation from Alexandria via LeMat-Bulk. Energies are from GGA-PBEsol.

Cell: 3.2254 4.9502 4.8174 Å, 90.00 90.13 90.00°
Fractional coordinates of all 4 atoms:
Mo 0.6260 0.5000 0.2117
Mo 0.1249 0.0000 0.0200
Te 0.1245 0.5000 0.7638
Pb 0.6245 0.0000 0.5046

Properties
* excess energy over the best structure of this formula in the dataset: 20 meV per atom
* spin magnetization: 0.00 μB/cell
* formation energy without anion corrections: 12.41 kcal/mol of atoms

---

Record 20
Here is Mo2PbW after structural relaxation from Alexandria via LeMat-Bulk. Energies are from GGA-PBEsol.

Cell: 2.8778 2.8778 9.0506 Å, 90.00 90.00 110.64°
Fractional coordinates of all 4 atoms:
Mo 0.0000 0.0000 0.2287
Mo 0.0000 0.0000 0.7713
Pb 0.5000 0.5000 0.5000
W 0.5000 0.5000 0.0000

Properties
* spin magnetization: 0.00 μB/cell
* formation energy: 0.529 eV/atom

---

Record 21
Here is MoPbW2 after structural relaxation from Alexandria via LeMat-Bulk. Energies are from GGA-PBEsol.

Cell: 3.3339 4.4825 4.5520 Å, 90.00 90.00 90.00°
Fractional coordinates of all 4 atoms:
Pb 0.0000 0.5000 0.5000
Mo 0.5000 0.0000 0.5000
W 0.5000 0.5000 0.0000
W 0.0000 0.0000 0.0000

Properties
* spin magnetization: 0.00 μB/cell
* formation energy: 0.782 eV/atom

---

Record 22
Here is MoPbW2 after structural relaxation from Alexandria via LeMat-Bulk. Energies are from GGA-PBEsol.

Cell: 4.0531 4.0531 5.0348 Å, 113.74 113.74 90.00°
Fractional coordinates of all 4 atoms:
W 0.7500 0.2500 0.5000
Mo 0.5000 0.5000 0.0000
Pb 0.2500 0.7500 0.5000
W 0.0000 0.0000 0.0000

Properties
* spin magnetization: 0.00 μB/cell
* formation energy: 0.786 eV/atom

---

Record 23
Here is Mo2PbW after structural relaxation from Alexandria via LeMat-Bulk. Energies are from GGA-PBEsol.

Cell: 3.0131 4.0720 5.7433 Å, 90.00 90.00 90.00°
Fractional coordinates of all 4 atoms:
Pb 0.0000 0.0000 0.4967
Mo 0.5000 0.5000 0.2094
Mo 0.0000 0.0000 0.9976
W 0.5000 0.5000 0.7963

Properties
* spin magnetization: 0.00 μB/cell
* formation energy: 0.588 eV/atom

---

Record 24
Here is MoPbW2 after structural relaxation from Alexandria via LeMat-Bulk. Energies are from GGA-PBEsol.

Cell: 3.0440 3.0440 9.1094 Å, 80.38 80.38 60.00°
Fractional coordinates of all 4 atoms:
Pb 0.0000 0.0000 0.0000
W 0.7597 0.7597 0.7210
W 0.2403 0.2403 0.2790
Mo 0.5000 0.5000 0.5000

Properties
* spin magnetization: 0.00 μB/cell
* formation energy: 0.788 eV/atom

---

Record 25
Here is Mo2PbW after structural relaxation from Alexandria via LeMat-Bulk. Energies are from GGA-PBEsol.

Cell: 4.5803 4.5803 4.5803 Å, 60.00 60.00 60.00°
Fractional coordinates of all 4 atoms:
W 0.2500 0.2500 0.2500
Mo 0.7500 0.7500 0.7500
Pb 0.5000 0.5000 0.5000
Mo 0.0000 0.0000 0.0000

Properties
* spin magnetization: 0.00 μB/cell
* formation energy: 0.763 eV/atom

---

Record 26
Here is Y2MoPb after structural relaxation from Alexandria via LeMat-Bulk. Energies are from GGA-PBEsol.

Cell: 3.7495 4.9039 6.0032 Å, 114.18 108.20 90.00°
Fractional coordinates of all 4 atoms:
Y 0.7696 0.2704 0.5393
Y 0.9941 0.9934 0.9881
Mo 0.5127 0.5115 0.0255
Pb 0.2236 0.7246 0.4471

Properties
* spin magnetization: 0.00 μB/cell
* formation energy: 0.126 eV/atom

---

Record 27
Here is Y2MoPb after structural relaxation from Alexandria via LeMat-Bulk. Energies are from GGA-PBEsol.

Cell: 3.4459 3.4459 9.7822 Å, 79.86 79.86 60.00°
Fractional coordinates of all 4 atoms:
Y 0.2402 0.2402 0.2795
Mo 0.5000 0.5000 0.5000
Pb 0.0000 0.0000 0.0000
Y 0.7598 0.7598 0.7205

Properties
* spin magnetization: 0.49 μB/cell
* formation energy: 0.184 eV/atom

---

Record 28
Here is ZnMoPb2 after structural relaxation from Alexandria via LeMat-Bulk. Energies are from GGA-PBEsol.

Cell: 3.8543 4.8717 5.3027 Å, 117.35 111.31 90.00°
Fractional coordinates of all 4 atoms:
Pb 0.2435 0.2435 0.4871
Pb 0.7565 0.7565 0.5129
Mo 0.0000 0.5000 0.0000
Zn 0.5000 0.0000 0.0000

Properties
* spin magnetization: 0.00 μB/cell
* formation energy: 0.646 eV/atom

---

Record 29
Here is ZnMo2Pb after structural relaxation from Alexandria via LeMat-Bulk. Energies are from GGA-PBEsol.

Cell: 3.2333 4.7753 4.9107 Å, 100.39 109.22 90.00°
Fractional coordinates of all 4 atoms:
Pb 0.0000 0.5000 0.0000
Mo 0.2464 0.1980 0.4929
Mo 0.7536 0.8020 0.5071
Zn 0.5000 0.0000 0.0000

Properties
* excess energy over the best structure of this formula in the dataset: 66 meV per atom
* spin magnetization: 0.00 μB/cell
* formation energy: 0.491 eV/atom

---

Record 30
Here is ZnMoPb2 after structural relaxation from Alexandria via LeMat-Bulk. Energies are from GGA-PBEsol.

Cell: 3.3398 4.9105 4.9105 Å, 90.02 90.00 90.00°
Fractional coordinates of all 4 atoms:
Pb 0.0000 0.5000 0.0000
Mo 0.5000 0.5000 0.5000
Zn 0.5000 0.0000 0.0000
Pb 0.0000 0.0000 0.5000

Properties
* spin magnetization: 0.02 μB/cell
* formation energy: 0.640 eV/atom

---

Record 31
Here is ZnMo2Pb after structural relaxation from Alexandria via LeMat-Bulk. Energies are from GGA-PBEsol.

Cell: 3.3914 3.3914 6.0177 Å, 90.00 90.00 90.00°
Fractional coordinates of all 4 atoms:
Zn 0.5000 0.5000 0.5000
Pb 0.5000 0.5000 0.0000
Mo 0.0000 0.0000 0.3029
Mo 0.0000 0.0000 0.6971

Properties
* excess energy over the best structure of this formula in the dataset: 141 meV per atom
* spin magnetization: 0.00 μB/cell
* formation energy: 0.566 eV/atom